No. 1
The following is a DFT calculation (PBE-GGA) of a geometry-optimized AlReSCl2 structure.

a b c (Å): 4.7470 4.7470 4.7929
angles (deg): 90.00 90.00 90.00
Atoms (fractional coordinates):
Al 0.0000 0.0000 0.0000
Re 0.5000 0.5000 0.5000
S 0.0000 0.0000 0.5000
Cl 0.0000 0.5000 0.0000
Cl 0.5000 0.0000 0.0000

* formation energy (no corrections): 0.533 eV per atom



No. 2
The following is a DFT calculation (PBE-GGA) of a geometry-optimized Tm2FeNi structure.

a b c (Å): 4.6600 4.6600 4.6600
angles (deg): 60.00 60.00 60.00
Atoms (fractional coordinates):
Tm 0.2500 0.2500 0.2500
Tm 0.7500 0.7500 0.7500
Fe 0.0000 0.0000 0.0000
Ni 0.5000 0.5000 0.5000

* formation energy: -0.157 eV per atom



Number 1: calculated volume 108.00 Å³/cell, VASP energy -4.270 eV per atom, energy above the lowest structure with this stoichiometry 0.3831 eV/atom. Number 2: calculated volume 71.56 Å³/cell, VASP energy -5.953 eV per atom, energy above the lowest structure with this stoichiometry 0.0320 eV/atom.